Density functional theory data (PBE+U) for CoAgPtO6 after structural relaxation.

Structure (POSCAR):
```
CoAgPtO6
1.0
5.081 0.000 0.000
-2.541 4.401 0.000
0.000 0.000 9.169
Co O Pt Ag
2 12 2 2
direct
0.667 0.333 0.250
0.333 0.667 0.750
0.015 0.639 0.865
0.985 0.624 0.365
0.624 0.985 0.865
0.639 0.015 0.365
0.361 0.376 0.865
0.985 0.361 0.135
0.015 0.376 0.635
0.624 0.639 0.635
0.376 0.361 0.365
0.361 0.985 0.635
0.376 0.015 0.135
0.639 0.624 0.135
0.667 0.333 0.750
0.333 0.667 0.250
0.000 0.000 0.000
0.000 0.000 0.500
```

The calculation puts the density at 7.42 g/cm3. The value obtained for the total energy is -0.190 hartree per atom. As for the volume: 11.4 A^3/atom.